(1)
DFT (SCAN) results for a PBEsol-optimized structure of Zn3BSe.

Summary:
As for the uncorrected energy: -12.16 eV per atom. For the density of states at the Fermi level, the calculation gives 3.91 states/eV/f.u.

abc: 4.782 4.782 4.782
angles: 90.00 90.00 90.00
Space group Pm-3m (No. 221)
Asymmetric unit:
Zn (0.000, 0.000, 0.500) x3
B (0.500, 0.500, 0.500) x1
Se (0.000, 0.000, 0.000) x1



(2)
DFT (SCAN) results for a PBEsol-optimized structure of LuBi2BrO4.

Summary:
As for the uncorrected energy: -34.20 eV per atom. For the density of states at the Fermi level, the calculation gives 0.00 states/eV/f.u.

abc: 3.823 3.823 9.052
angles: 90.00 90.00 90.00
Space group P4/mmm (No. 123)
Asymmetric unit:
Lu (0.000, 0.000, 0.000) x1
Bi (0.500, 0.500, 0.271) x2
Br (0.000, 0.000, 0.500) x1
O (0.000, 0.500, 0.145) x4



(3)
DFT (SCAN) results for a PBEsol-optimized structure of As2BrCl.

Summary:
For the density of states at the Fermi level, the calculation gives 2.80 states/eV/f.u. The calculation puts the energy above the most stable polymorph in this dataset at 857.1 meV/atom.

abc: 3.2194 3.2194 26.6941
angles: 90.00 90.00 120.00
Space group R-3m (No. 166, hexagonal axes)
Asymmetric unit:
As (0.0000, 0.0000, 0.2486) x6
Br (0.0000, 0.0000, 0.0000) x3
Cl (0.0000, 0.0000, 0.5000) x3



(4)
DFT (SCAN) results for a PBEsol-optimized structure of ZnIr2Pt.

Summary:
For the density of states at the Fermi level, the calculation gives 3.04 states/eV/f.u. The calculation puts the formation energy at 0.01 eV per atom.

abc: 5.314 9.285 2.697
angles: 90.00 119.97 90.00
Space group C2/m (No. 12)
Asymmetric unit:
Zn (0.000, 0.000, 0.000) x2
Ir (0.250, 0.250, 0.500) x4
Pt (0.000, 0.500, 0.000) x2



(5)
DFT (SCAN) results for a PBEsol-optimized structure of CaCdIn2.

Summary:
For the density of states at the Fermi level, the calculation gives 1.18 states/eV/f.u. The calculation puts the formation energy at -0.29 eV per atom.

abc: 7.312 7.312 7.312
angles: 90.00 90.00 90.00
Space group F-43m (No. 216)
Asymmetric unit:
Ca (0.000, 0.000, 0.000) x4
Cd (0.250, 0.250, 0.750) x4
In (0.000, 0.000, 0.500) x4
In (0.250, 0.250, 0.250) x4



(6)
DFT (SCAN) results for a PBEsol-optimized structure of SrBe2Si2.

Summary:
As for the uncorrected energy: -10.41 eV per atom. For the density of states at the Fermi level, the calculation gives 0.70 states/eV/f.u.

abc: 4.055 4.055 9.633
angles: 90.00 90.00 90.00
Space group I4/mmm (No. 139)
Asymmetric unit:
Sr (0.000, 0.000, 0.000) x2
Be (0.000, 0.500, 0.250) x4
Si (0.000, 0.000, 0.373) x4



(7)
DFT (SCAN) results for a PBEsol-optimized structure of IrWO3.

Summary:
As for the uncorrected energy: -32.31 eV per atom. For the density of states at the Fermi level, the calculation gives 3.31 states/eV/f.u.

abc: 3.885 3.885 3.885
angles: 90.00 90.00 90.00
Space group Pm-3m (No. 221)
Asymmetric unit:
Ir (0.000, 0.000, 0.000) x1
W (0.500, 0.500, 0.500) x1
O (0.000, 0.500, 0.500) x3



(8)
DFT (SCAN) results for a PBEsol-optimized structure of AgMoP2C.

Summary:
For the density of states at the Fermi level, the calculation gives 2.77 states/eV/f.u. The calculation puts the formation energy at 1.05 eV per atom.

abc: 4.688 4.688 3.987
angles: 90.00 90.00 90.00
Space group P4/mmm (No. 123)
Asymmetric unit:
Ag (0.000, 0.000, 0.000) x1
Mo (0.500, 0.500, 0.500) x1
P (0.000, 0.500, 0.500) x2
C (0.500, 0.500, 0.000) x1



(9)
DFT (SCAN) results for a PBEsol-optimized structure of Al2CoIr.

Summary:
For the density of states at the Fermi level, the calculation gives 2.26 states/eV/f.u. The calculation puts the formation energy at -0.53 eV per atom. The calculation puts the energy above the most stable polymorph in this dataset at 448.8 meV/atom.

abc: 2.748 3.678 5.142
angles: 90.00 90.00 90.00
Space group Pmm2 (No. 25)
Asymmetric unit:
Al (0.000, 0.000, 0.000) x1
Al (0.500, 0.500, 0.301) x1
Co (0.000, 0.000, 0.490) x1
Ir (0.500, 0.500, 0.792) x1



(10)
DFT (SCAN) results for a PBEsol-optimized structure of Sc2AgIr.

Summary:
For the density of states at the Fermi level, the calculation gives 1.94 states/eV/f.u. The calculation puts the formation energy at -0.82 eV per atom. The calculation puts the energy above the most stable polymorph in this dataset at 0.0 meV/atom.

abc: 6.540 6.540 6.540
angles: 90.00 90.00 90.00
Space group Fm-3m (No. 225)
Asymmetric unit:
Sc (0.250, 0.250, 0.250) x8
Ag (0.000, 0.000, 0.000) x4
Ir (0.000, 0.000, 0.500) x4



(11)
DFT (SCAN) results for a PBEsol-optimized structure of TlSi2Au.

Summary:
For the density of states at the Fermi level, the calculation gives 1.34 states/eV/f.u. The calculation puts the energy above the most stable polymorph in this dataset at 0.0 meV/atom.

abc: 6.577 3.801 6.788
angles: 90.00 109.33 90.00
Space group Cm (No. 8)
Asymmetric unit:
Tl (0.000, 0.000, 0.000) x2
Si (0.008, 0.500, 0.518) x2
Si (0.226, 0.000, 0.669) x2
Au (0.268, 0.500, 0.300) x2



(12)
DFT (SCAN) results for a PBEsol-optimized structure of BH3.

Summary:
As for the uncorrected energy: -4.51 eV per atom. For the density of states at the Fermi level, the calculation gives 0.00 states/eV/f.u.

abc: 4.084 5.900 5.907
angles: 90.00 116.08 90.00
Space group P2_1/c (No. 14)
Asymmetric unit:
B (0.147, 0.044, 0.150) x4
H (0.094, 0.515, 0.827) x4
H (0.154, 0.637, 0.520) x4
H (0.402, 0.163, 0.180) x4



(13)
DFT (SCAN) results for a PBEsol-optimized structure of Tl3Co.

Summary:
For the density of states at the Fermi level, the calculation gives 3.00 states/eV/f.u. The calculation puts the formation energy at 0.43 eV per atom.

abc: 3.180 3.180 8.639
angles: 90.00 90.00 90.00
Space group P4/mmm (No. 123)
Asymmetric unit:
Tl (0.000, 0.000, 0.000) x1
Tl (0.500, 0.500, 0.314) x2
Co (0.000, 0.000, 0.500) x1



(14)
DFT (SCAN) results for a PBEsol-optimized structure of Ho.

Summary:
For the density of states at the Fermi level, the calculation gives 1.58 states/eV/f.u. The calculation puts the formation energy at 0.05 eV per atom. The calculation puts the energy above the most stable polymorph in this dataset at 54.9 meV/atom.

abc: 5.4421 5.4421 3.3757
angles: 90.00 90.00 120.00
Space group P6/mmm (No. 191)
Asymmetric unit:
Ho (0.0000, 0.0000, 0.0000) x1
Ho (0.3333, 0.6667, 0.5000) x2



(15)
DFT (SCAN) results for a PBEsol-optimized structure of Bi5Te3O18.

Summary:
As for the uncorrected energy: -24.64 eV per atom. For the density of states at the Fermi level, the calculation gives 0.38 states/eV/f.u.

abc: 15.904 9.096 11.565
angles: 90.00 97.28 90.00
Space group C2 (No. 5)
Asymmetric unit:
Bi (0.000, 0.000, 0.000) x2
Bi (0.000, 0.401, 0.500) x2
Bi (0.126, 0.944, 0.769) x4
Bi (0.133, 0.525, 0.287) x4
Bi (0.163, 0.354, 0.005) x4
Bi (0.167, 0.075, 0.479) x4
Te (0.004, 0.232, 0.244) x4
Te (0.158, 0.728, 0.552) x4
Te (0.168, 0.702, 0.042) x4
O (0.014, 0.432, 0.712) x4
O (0.027, 0.032, 0.204) x4
O (0.075, 0.213, 0.904) x4
O (0.078, 0.157, 0.660) x4
O (0.087, 0.746, 0.671) x4
O (0.090, 0.574, 0.472) x4
O (0.093, 0.247, 0.378) x4
O (0.093, 0.322, 0.155) x4
O (0.098, 0.869, 0.445) x4
O (0.099, 0.707, 0.163) x4
O (0.099, 0.849, 0.954) x4
O (0.103, 0.550, 0.949) x4
O (0.220, 0.908, 0.626) x4
O (0.227, 0.524, 0.123) x4
O (0.231, 0.709, 0.424) x4
O (0.237, 0.592, 0.635) x4
O (0.244, 0.704, 0.919) x4
O (0.250, 0.338, 0.880) x4



(16)
DFT (SCAN) results for a PBEsol-optimized structure of Rb3BiF.

Summary:
For the density of states at the Fermi level, the calculation gives 2.88 states/eV/f.u. The calculation puts the energy above the most stable polymorph in this dataset at 0.0 meV/atom.

abc: 5.594 5.594 5.594
angles: 90.00 90.00 90.00
Space group Pm-3m (No. 221)
Asymmetric unit:
Rb (0.000, 0.000, 0.500) x3
Bi (0.500, 0.500, 0.500) x1
F (0.000, 0.000, 0.000) x1



(17)
DFT (SCAN) results for a PBEsol-optimized structure of SbRhS.

Summary:
As for the uncorrected energy: -27.57 eV per atom.

abc: 6.000 6.000 6.000
angles: 90.00 90.00 90.00
Space group P2_13 (No. 198)
Asymmetric unit:
Sb (0.123, 0.377, 0.623) x4
Rh (0.015, 0.985, 0.485) x4
S (0.119, 0.119, 0.119) x4



(18)
DFT (SCAN) results for a PBEsol-optimized structure of GeAsSe2S.

Summary:
As for the uncorrected energy: -17.12 eV per atom. For the density of states at the Fermi level, the calculation gives 3.62 states/eV/f.u.

abc: 4.825 4.825 4.692
angles: 90.00 90.00 90.00
Space group P4/mmm (No. 123)
Asymmetric unit:
Ge (0.000, 0.000, 0.000) x1
As (0.500, 0.500, 0.000) x1
Se (0.000, 0.500, 0.500) x2
S (0.500, 0.500, 0.500) x1



(19)
DFT (SCAN) results for a PBEsol-optimized structure of SrCr2Ni.

Summary:
For the density of states at the Fermi level, the calculation gives 3.88 states/eV/f.u. The calculation puts the formation energy at 0.82 eV per atom. The calculation puts the energy above the most stable polymorph in this dataset at 0.0 meV/atom.

abc: 6.564 6.564 6.564
angles: 90.00 90.00 90.00
Space group Fm-3m (No. 225)
Asymmetric unit:
Sr (0.000, 0.000, 0.000) x4
Cr (0.250, 0.250, 0.250) x8
Ni (0.000, 0.000, 0.500) x4



(20)
DFT (SCAN) results for a PBEsol-optimized structure of CdAsCl.

Summary:
As for the uncorrected energy: -19.42 eV per atom. For the density of states at the Fermi level, the calculation gives 2.00 states/eV/f.u.

abc: 4.6872 4.6872 3.2319
angles: 90.00 90.00 120.00
Space group P3m1 (No. 156)
Asymmetric unit:
Cd (0.0000, 0.0000, 0.0000) x1
As (0.6667, 0.3333, 0.8046) x1
Cl (0.3333, 0.6667, 0.3577) x1